First-principles (GGA-PBE) data for an optimized crystal structure of TmCu, as listed in OQMD via LeMat-Bulk.

Computed properties:
Symmetry ... P-6m2, No. 187
Total magnetization ... 0.002 Bohr magnetons per cell
Electronic total energy ... -4.092 eV per atom
ΔE_f ... 0.0039 eV/atom

Cell and atoms, written as POSCAR:
```
TmCu
1.0
3.416 0.000 0.000
-1.708 2.958 0.000
0.000 0.000 4.088
Tm Cu
1 1
direct
0.000 0.000 0.000
0.333 0.667 0.500
```